Below is crystalline NaLaNd2Te4 at its relaxed geometry, with properties calculated at the GGA-PBE level.

ΔE_f (raw), kcal/mol of atoms: -32.99
N(E_F), states/eV/f.u.: 3.15
Space-group type: No. 10
Total moment, μB per formula unit: 0.0

Lattice parameters (Å, degrees): 4.510 7.819 7.936 109.09 90.00 90.00
Sites, in units of the cell vectors:
Te  0.500  0.746  0.748
Te  0.000  0.251  0.748
Te  0.500  0.254  0.252
Te  0.000  0.749  0.252
Na  0.500  0.500  0.000
Nd  0.500  0.000  0.500
Nd  0.000  0.500  0.500
La  0.000  0.000  0.000